Density functional theory data (PBE) for crystalline HgB2O4 at its relaxed geometry.

Cell: 10.031 4.641 9.915 Å, 77.94 26.90 75.15°
Fractional coordinates of all 14 atoms:
Hg 0.000 0.000 0.000
Hg 0.250 0.250 0.250
B 0.079 0.602 0.624
B 0.556 0.626 0.648
B 0.602 0.079 0.694
B 0.626 0.556 0.171
O 0.296 0.631 0.815
O 0.350 0.715 0.369
O 0.435 0.992 0.954
O 0.631 0.296 0.258
O 0.684 0.881 0.535
O 0.715 0.350 0.566
O 0.881 0.684 0.900
O 0.992 0.435 0.619

Properties
DFT total energy in eV per formula unit: -45.92
Space-group type: Fdd2, No. 43
Raw formation energy in eV per atom: -1.78
Theoretical density in g/cm3: 4.7